DFT (PBE) results for a relaxed structure of ZnHPd5.

Computed properties:
Crystal system: monoclinic
Space group: C2/c, No. 15
Offset from the most stable computed form: 72 meV/atom

a = 5.795 Å, b = 5.795 Å, c = 8.671 Å
α = 58.70°, β = 58.70°, γ = 75.15°
Element x y z (fractional)
Zn 0.730 0.270 0.250
Zn 0.270 0.730 0.750
H 0.000 0.000 0.000
H 0.000 0.000 0.500
Pd 0.677 0.901 0.185
Pd 0.323 0.467 0.460
Pd 0.901 0.677 0.685
Pd 0.095 0.905 0.250
Pd 0.533 0.677 0.040
Pd 0.467 0.323 0.960
Pd 0.905 0.095 0.750
Pd 0.099 0.323 0.315
Pd 0.677 0.533 0.540
Pd 0.323 0.099 0.815

DFT (PBE) results for a relaxed structure of Zn2HPd6.

Computed properties:
Crystal system: tetragonal
Space group: I-42m, No. 121
Offset from the most stable computed form: 337 meV/atom

a = 3.902 Å, b = 3.902 Å, c = 10.087 Å
α = 101.15°, β = 101.15°, γ = 90.00°
Element x y z (fractional)
Zn 0.164 0.164 0.328
Zn 0.836 0.836 0.672
H 0.500 0.500 0.000
Pd 0.812 0.300 0.112
Pd 0.700 0.700 0.888
Pd 0.300 0.812 0.112
Pd 0.188 0.188 0.888
Pd 0.750 0.250 0.500
Pd 0.250 0.750 0.500

DFT (PBE) results for a relaxed structure of ZnHPd3.

Computed properties:
Crystal system: cubic
Space group: Fd-3m, No. 227
Offset from the most stable computed form: 166 meV/atom

a = 7.389 Å, b = 7.389 Å, c = 7.389 Å
α = 60.00°, β = 60.00°, γ = 60.00°
Element x y z (fractional)
H 0.125 0.125 0.125
H 0.125 0.625 0.125
H 0.625 0.125 0.125
H 0.125 0.125 0.625
Zn 0.625 0.625 0.625
Zn 0.625 0.125 0.625
Zn 0.125 0.625 0.625
Zn 0.625 0.625 0.125
Pd 0.805 0.195 0.195
Pd 0.055 0.445 0.445
Pd 0.445 0.445 0.055
Pd 0.445 0.055 0.055
Pd 0.055 0.445 0.055
Pd 0.805 0.195 0.805
Pd 0.445 0.055 0.445
Pd 0.055 0.055 0.445
Pd 0.195 0.805 0.195
Pd 0.195 0.805 0.805
Pd 0.195 0.195 0.805
Pd 0.805 0.805 0.195

DFT (PBE) results for a relaxed structure of ZnHPd3.

Computed properties:
Crystal system: trigonal
Space group: R-3c, No. 167
Offset from the most stable computed form: 198 meV/atom

a = 5.083 Å, b = 5.083 Å, c = 5.083 Å
α = 85.72°, β = 85.72°, γ = 85.72°
Element x y z (fractional)
H 0.250 0.250 0.250
H 0.750 0.750 0.750
Zn 0.000 0.000 0.000
Zn 0.500 0.500 0.500
Pd 0.987 0.513 0.250
Pd 0.513 0.250 0.987
Pd 0.250 0.987 0.513
Pd 0.750 0.013 0.487
Pd 0.487 0.750 0.013
Pd 0.013 0.487 0.750

DFT (PBE) results for a relaxed structure of Zn2HPd6.

Computed properties:
Crystal system: cubic
Space group: Fm-3m, No. 225
Offset from the most stable computed form: 0 meV/atom

a = 5.577 Å, b = 5.577 Å, c = 5.575 Å
α = 60.01°, β = 60.01°, γ = 59.98°
Element x y z (fractional)
Zn 0.250 0.250 0.250
Zn 0.750 0.750 0.750
H 0.500 0.500 0.500
Pd 0.248 0.248 0.751
Pd 0.248 0.752 0.248
Pd 0.752 0.248 0.752
Pd 0.752 0.248 0.248
Pd 0.248 0.752 0.752
Pd 0.752 0.752 0.249

DFT (PBE) results for a relaxed structure of Zn3H5Pd12.

Computed properties:
Crystal system: cubic
Space group: Ia-3d, No. 230

a = 10.960 Å, b = 10.960 Å, c = 10.960 Å
α = 109.47°, β = 109.47°, γ = 109.47°
Element x y z (fractional)
Zn 0.750 0.375 0.125
Zn 0.875 0.750 0.125
Zn 0.375 0.750 0.625
Zn 0.250 0.125 0.375
Zn 0.875 0.125 0.250
Zn 0.375 0.625 0.250
Zn 0.625 0.375 0.750
Zn 0.125 0.875 0.750
Zn 0.750 0.875 0.625
Zn 0.625 0.250 0.375
Zn 0.125 0.250 0.875
Zn 0.250 0.625 0.875
H 0.125 0.375 0.250
H 0.000 0.500 0.000
H 0.000 0.000 0.000
H 0.375 0.250 0.125
H 0.500 0.000 0.500
H 0.500 0.500 0.000
H 0.125 0.750 0.375
H 0.750 0.125 0.875
H 0.750 0.625 0.375
H 0.375 0.125 0.750
H 0.625 0.875 0.250
H 0.500 0.500 0.500
H 0.500 0.000 0.000
H 0.000 0.000 0.500
H 0.250 0.375 0.625
H 0.250 0.875 0.125
H 0.000 0.500 0.500
H 0.875 0.250 0.625
H 0.625 0.750 0.875
H 0.875 0.625 0.750
Pd 0.698 0.106 0.011
Pd 0.314 0.511 0.405
Pd 0.989 0.394 0.302
Pd 0.511 0.198 0.106
Pd 0.591 0.698 0.686
Pd 0.989 0.595 0.186
Pd 0.314 0.802 0.409
Pd 0.095 0.909 0.106
Pd 0.595 0.989 0.686
Pd 0.698 0.591 0.186
Pd 0.802 0.489 0.394
Pd 0.814 0.905 0.011
Pd 0.106 0.698 0.511
Pd 0.394 0.405 0.091
Pd 0.091 0.905 0.394
Pd 0.409 0.106 0.595
Pd 0.091 0.186 0.198
Pd 0.489 0.686 0.095
Pd 0.814 0.909 0.302
Pd 0.106 0.409 0.095
Pd 0.394 0.989 0.802
Pd 0.595 0.606 0.409
Pd 0.905 0.814 0.511
Pd 0.802 0.314 0.909
Pd 0.405 0.394 0.591
Pd 0.095 0.186 0.489
Pd 0.198 0.686 0.091
Pd 0.186 0.091 0.698
Pd 0.606 0.011 0.198
Pd 0.894 0.591 0.905
Pd 0.511 0.314 0.905
Pd 0.591 0.894 0.405
Pd 0.909 0.814 0.802
Pd 0.909 0.095 0.606
Pd 0.894 0.302 0.489
Pd 0.186 0.095 0.989
Pd 0.606 0.595 0.909
Pd 0.405 0.011 0.314
Pd 0.302 0.409 0.814
Pd 0.198 0.511 0.606
Pd 0.905 0.091 0.894
Pd 0.686 0.198 0.591
Pd 0.489 0.802 0.894
Pd 0.011 0.405 0.814
Pd 0.409 0.302 0.314
Pd 0.011 0.606 0.698
Pd 0.686 0.489 0.595
Pd 0.302 0.894 0.989

DFT (PBE) results for a relaxed structure of ZnHPd3.

Computed properties:
Crystal system: monoclinic
Space group: C2/c, No. 15
Offset from the most stable computed form: 64 meV/atom

a = 10.824 Å, b = 6.919 Å, c = 6.919 Å
α = 102.73°, β = 132.10°, γ = 47.90°
Element x y z (fractional)
H 0.324 0.190 0.516
H 0.176 0.016 0.690
H 0.676 0.810 0.484
H 0.824 0.984 0.310
Zn 0.750 0.251 0.751
Zn 0.250 0.749 0.249
Zn 0.750 0.596 0.096
Zn 0.250 0.404 0.904
Pd 0.428 0.251 0.406
Pd 0.072 0.906 0.751
Pd 0.572 0.749 0.594
Pd 0.928 0.094 0.249
Pd 0.078 0.244 0.103
Pd 0.422 0.603 0.744
Pd 0.922 0.756 0.897
Pd 0.578 0.397 0.256
Pd 0.579 0.082 0.919
Pd 0.921 0.419 0.582
Pd 0.421 0.918 0.081
Pd 0.079 0.581 0.418

DFT (PBE) results for a relaxed structure of ZnHPd3.

Computed properties:
Crystal system: orthorhombic
Space group: Pnma, No. 62
Offset from the most stable computed form: 190 meV/atom

a = 4.887 Å, b = 7.562 Å, c = 7.523 Å
α = 90.00°, β = 90.00°, γ = 90.00°
Element x y z (fractional)
H 0.504 0.250 0.498
H 0.996 0.750 0.998
H 0.496 0.750 0.502
H 0.004 0.250 0.002
Zn 0.000 0.000 0.500
Zn 0.500 0.500 0.000
Zn 0.500 0.000 0.000
Zn 0.000 0.500 0.500
Pd 0.042 0.930 0.837
Pd 0.458 0.430 0.337
Pd 0.458 0.070 0.337
Pd 0.958 0.430 0.163
Pd 0.958 0.070 0.163
Pd 0.542 0.570 0.663
Pd 0.542 0.930 0.663
Pd 0.042 0.570 0.837
Pd 0.262 0.250 0.669
Pd 0.238 0.750 0.169
Pd 0.738 0.750 0.331
Pd 0.762 0.250 0.831

DFT (PBE) results for a relaxed structure of ZnHPd3.

Computed properties:
Crystal system: orthorhombic
Space group: Amm2, No. 38
Offset from the most stable computed form: 463 meV/atom

a = 2.701 Å, b = 6.842 Å, c = 6.842 Å
α = 133.66°, β = 90.00°, γ = 90.00°
Element x y z (fractional)
H 0.000 0.442 0.558
Zn 0.500 0.091 0.909
Pd 0.500 0.164 0.328
Pd 0.500 0.672 0.836
Pd 0.000 0.259 0.741

DFT (PBE) results for a relaxed structure of ZnHPd4.

Computed properties:
Crystal system: monoclinic
Space group: P2_1, No. 4
Offset from the most stable computed form: 0 meV/atom

a = 4.366 Å, b = 5.408 Å, c = 7.100 Å
α = 90.00°, β = 107.47°, γ = 90.00°
Element x y z (fractional)
Zn 0.901 0.784 0.794
Zn 0.099 0.284 0.206
H 0.538 0.762 0.202
H 0.462 0.262 0.798
Pd 0.901 0.276 0.799
Pd 0.099 0.776 0.201
Pd 0.484 0.967 0.962
Pd 0.516 0.467 0.038
Pd 0.721 0.568 0.428
Pd 0.279 0.068 0.572
Pd 0.672 0.076 0.351
Pd 0.328 0.576 0.649

DFT (PBE) results for a relaxed structure of ZnH2Pd5.

Computed properties:
Crystal system: orthorhombic
Space group: Immm, No. 71

a = 4.398 Å, b = 5.510 Å, c = 5.445 Å
α = 120.39°, β = 113.82°, γ = 90.00°
Element x y z (fractional)
Zn 0.000 0.000 0.000
H 0.215 0.715 0.429
H 0.785 0.285 0.571
Pd 0.000 0.500 0.000
Pd 0.660 0.414 0.319
Pd 0.340 0.586 0.681
Pd 0.660 0.905 0.319
Pd 0.340 0.095 0.681

DFT (PBE) results for a relaxed structure of ZnHPd3.

Computed properties:
Crystal system: monoclinic
Space group: C2/c, No. 15
Offset from the most stable computed form: 61 meV/atom

a = 10.323 Å, b = 7.244 Å, c = 7.244 Å
α = 80.28°, β = 124.67°, γ = 55.33°
Element x y z (fractional)
H 0.750 0.179 0.679
H 0.250 0.821 0.321
H 0.750 0.462 0.962
H 0.250 0.538 0.038
Zn 0.072 0.498 0.365
Zn 0.428 0.865 0.998
Zn 0.928 0.502 0.635
Zn 0.572 0.135 0.002
Pd 0.416 0.389 0.482
Pd 0.084 0.982 0.889
Pd 0.584 0.611 0.518
Pd 0.916 0.018 0.111
Pd 0.084 0.236 0.152
Pd 0.416 0.652 0.736
Pd 0.916 0.764 0.848
Pd 0.584 0.348 0.264
Pd 0.575 0.875 0.787
Pd 0.925 0.287 0.375
Pd 0.425 0.125 0.213
Pd 0.075 0.713 0.625

DFT (PBE) results for a relaxed structure of ZnH3Pd3.

Computed properties:
Crystal system: hexagonal
Space group: P6_3/m, No. 176
Offset from the most stable computed form: 0 meV/atom

a = 2.937 Å, b = 7.612 Å, c = 7.612 Å
α = 120.00°, β = 90.00°, γ = 90.00°
Element x y z (fractional)
Zn 0.250 0.667 0.333
Zn 0.750 0.333 0.667
H 0.250 0.746 0.953
H 0.250 0.047 0.793
H 0.250 0.207 0.254
H 0.750 0.254 0.047
H 0.750 0.953 0.207
H 0.750 0.793 0.746
Pd 0.250 0.049 0.365
Pd 0.250 0.635 0.683
Pd 0.250 0.317 0.951
Pd 0.750 0.951 0.635
Pd 0.750 0.365 0.317
Pd 0.750 0.683 0.049

DFT (PBE) results for a relaxed structure of ZnHPd3.

Computed properties:
Crystal system: monoclinic
Space group: P2_1/m, No. 11
Offset from the most stable computed form: 72 meV/atom

a = 4.672 Å, b = 5.859 Å, c = 5.784 Å
α = 90.00°, β = 54.03°, γ = 90.00°
Element x y z (fractional)
H 0.660 0.250 0.667
H 0.340 0.750 0.333
Zn 0.038 0.250 0.233
Zn 0.962 0.750 0.767
Pd 0.436 0.513 0.782
Pd 0.564 0.487 0.218
Pd 0.436 0.987 0.782
Pd 0.564 0.013 0.218
Pd 0.010 0.250 0.703
Pd 0.990 0.750 0.297

DFT (PBE) results for a relaxed structure of ZnH5Pd5.

Computed properties:
Crystal system: triclinic
Space group: P-1, No. 2

a = 5.761 Å, b = 7.012 Å, c = 6.511 Å
α = 109.77°, β = 127.12°, γ = 33.88°
Element x y z (fractional)
Zn 0.000 0.000 0.000
H 0.296 0.445 0.621
H 0.235 0.016 0.641
H 0.000 0.500 0.000
H 0.765 0.984 0.359
H 0.704 0.555 0.379
Pd 0.374 0.659 0.703
Pd 0.141 0.334 0.315
Pd 0.500 0.000 0.000
Pd 0.859 0.666 0.685
Pd 0.626 0.341 0.297

DFT (PBE) results for a relaxed structure of ZnHPd3.

Computed properties:
Crystal system: trigonal
Space group: R-3, No. 148
Offset from the most stable computed form: 95 meV/atom

a = 7.026 Å, b = 7.026 Å, c = 7.026 Å
α = 40.84°, β = 40.84°, γ = 40.84°
Element x y z (fractional)
H 0.070 0.070 0.070
H 0.930 0.930 0.930
Zn 0.334 0.334 0.334
Zn 0.666 0.666 0.666
Pd 0.443 0.105 0.769
Pd 0.105 0.769 0.443
Pd 0.231 0.557 0.895
Pd 0.895 0.231 0.557
Pd 0.557 0.895 0.231
Pd 0.769 0.443 0.105

DFT (PBE) results for a relaxed structure of ZnHPd3.

Computed properties:
Crystal system: trigonal
Space group: R-3c, No. 167
Offset from the most stable computed form: 0 meV/atom

a = 5.613 Å, b = 5.613 Å, c = 5.613 Å
α = 60.17°, β = 60.17°, γ = 60.17°
Element x y z (fractional)
H 0.996 0.996 0.996
H 0.496 0.496 0.496
Zn 0.246 0.246 0.246
Zn 0.746 0.746 0.746
Pd 0.246 0.768 0.725
Pd 0.268 0.746 0.225
Pd 0.225 0.268 0.746
Pd 0.746 0.225 0.268
Pd 0.768 0.725 0.246
Pd 0.725 0.246 0.768

Number 1: final energy -4.336 eV per atom. Number 2: final energy -4.081 eV per atom. Number 3: final energy -4.186 eV per atom. Number 4: final energy -4.153 eV per atom. Number 5: final energy -4.418 eV per atom. Number 6: final energy -4.313 eV per atom. Number 7: final energy -4.288 eV per atom. Number 8: final energy -4.161 eV per atom. Number 9: final energy -3.888 eV per atom. Number 10: final energy -4.425 eV per atom. Number 11: final energy -4.335 eV per atom. Number 12: final energy -4.290 eV per atom. Number 13: final energy -4.036 eV per atom. Number 14: final energy -4.280 eV per atom. Number 15: final energy -4.125 eV per atom. Number 16: final energy -4.257 eV per atom. Number 17: final energy -4.352 eV per atom.